A relaxed structure of Lu4CuSbN2. Source: OQMD, functional PBE.

a b c (Å): 3.4472 3.4472 14.0754
angles (deg): 90.00 90.00 120.00
Element x y z (fractional)
Cu 0.0000 0.0000 0.0000
Lu 0.6667 0.3333 0.1425
Lu 0.0000 0.0000 0.3292
Lu 0.0000 0.0000 0.6708
Lu 0.6667 0.3333 0.8575
N 0.3333 0.6667 0.2474
N 0.3333 0.6667 0.7526
Sb 0.6667 0.3333 0.5000

Values from the calculation:
total energy: -6.382 eV/atom
space group: P-6m2, No. 187